VSbPd2O: optimized geometry, GGA+U.

```
data_VSbPd2O
_chemical_formula_sum 'V1 Sb1 Pd2 O1'
_cell_length_a 4.7213
_cell_length_b 4.7213
_cell_length_c 3.7265
_cell_angle_alpha 90.00
_cell_angle_beta 90.00
_cell_angle_gamma 90.00
_symmetry_space_group_name_H-M 'P 4/m m m'
_symmetry_Int_Tables_number 123
_symmetry_space_group_name_Hall '-P 4 2'
loop_
_atom_site_label
_atom_site_type_symbol
_atom_site_fract_x
_atom_site_fract_y
_atom_site_fract_z
V1 V 0.0000 0.0000 0.0000
Sb1 Sb 0.5000 0.5000 0.0000
Pd1 Pd 0.0000 0.5000 0.5000
O1 O 0.0000 0.0000 0.5000
```

Properties
mass density = 8.03 Mg/m³
uncorrected energy = -5.67 eV/atom
D(E_F) = 2.646 states/eV/cell